{"formula": "CdCoIO6", "functional": "PBE with a Hubbard U", "state": "relaxed", "spacegroup": "P312", "e_tot_ev_per_atom": -4.84, "crystal_system": "trigonal", "m_tot_mub_per_cell": 0.0, "lattice_angstrom": [[-2.526, -1.965, -3.901], [0.564, -4.875, -1.172], [-3.767, -1.163, 3.025]], "species": ["I", "Cd", "O", "O", "O", "O", "O", "O", "Co"], "frac_coords": [[0.333, 0.333, 0.500], [0.000, 0.000, 0.000], [0.371, 0.629, 0.285], [0.629, 0.371, 0.715], [0.629, 0.000, 0.285], [0.000, 0.629, 0.715], [0.000, 0.371, 0.285], [0.371, 0.000, 0.715], [0.667, 0.667, 0.500]]}

=====

{"formula": "CdCoIO2", "functional": "PBE with a Hubbard U", "state": "relaxed", "spacegroup": "P4/mmm", "polymorph_energy_mev_per_atom": 403, "e_tot_ev_per_atom": -3.17, "crystal_system": "tetragonal", "m_tot_mub_per_cell": 3.4, "lattice_angstrom": [[4.113, 0.000, 0.000], [0.000, 4.113, 0.000], [0.000, 0.000, 6.813]], "species": ["O", "O", "Co", "I", "Cd"], "frac_coords": [[0.000, 0.500, 0.000], [0.500, 0.000, 0.000], [0.500, 0.500, 0.500], [0.000, 0.000, 0.500], [0.000, 0.000, 0.000]]}

=====

{"formula": "CdCoIO2", "functional": "PBE with a Hubbard U", "state": "relaxed", "spacegroup": "P4/mmm", "polymorph_energy_mev_per_atom": 0, "e_tot_ev_per_atom": -3.57, "crystal_system": "tetragonal", "m_tot_mub_per_cell": 3.9, "lattice_angstrom": [[-2.492, 2.891, 1.062], [-1.620, -0.069, -3.614], [-3.867, -3.998, 1.809]], "species": ["I", "Cd", "Co", "O", "O"], "frac_coords": [[0.000, 0.000, 0.500], [0.500, 0.500, 0.500], [0.000, 0.000, 0.000], [0.500, 0.000, 0.000], [0.000, 0.500, 0.000]]}